(1)
# CsNa2Sr

CsNa2Sr after structural relaxation (PBE, Alexandria via LeMat-Bulk).

Cell lengths 6.968, 6.968, 4.493 Å; angles 90.00, 90.00, 90.00 degrees
Fractional positions:
Cs 0.000 0.000 0.000
Na 0.000 0.500 0.500
Na 0.500 0.000 0.500
Sr 0.500 0.500 0.000

Summary:
SG: P4/mmm
ΔH_f (0 K), meV/atom: 69
Size of the total moment, μB per formula unit: 0.00
Energy above the lowest structure with this stoichiometry, meV per atom: 20
Total DFT energy (no corrections), eV/atom: -1.22



(2)
# SrEr3Hg4

SrEr3Hg4 after structural relaxation (PBE, Alexandria via LeMat-Bulk).

Cell lengths 5.288, 5.288, 7.592 Å; angles 90.00, 90.00, 90.00 degrees
Fractional positions:
Sr 0.000 0.000 0.000
Er 0.000 0.000 0.500
Er 0.500 0.500 0.000
Er 0.500 0.500 0.500
Hg 0.000 0.500 0.267
Hg 0.000 0.500 0.733
Hg 0.500 0.000 0.267
Hg 0.500 0.000 0.733

Summary:
SG: P4/mmm
ΔH_f (0 K), meV/atom: -465
Size of the total moment, μB per formula unit: 0.00
Total DFT energy (no corrections), eV/atom: -2.54